(1)
{
  "formula": "Ag4Pd4Au5",
  "functional": "PBE-GGA",
  "state": "relaxed",
  "lattice_angstrom": [[3.970, 0.000, 1.009], [1.985, 7.364, 0.505], [0.170, 0.000, 7.642]],
  "species": ["Ag", "Ag", "Ag", "Ag", "Au", "Au", "Au", "Au", "Au", "Pd", "Pd", "Pd", "Pd"],
  "frac_coords": [[0.767, 0.388, 0.078], [0.233, 0.612, 0.922], [0.155, 0.078, 0.612], [0.845, 0.922, 0.388], [0.536, 0.766, 0.162], [0.302, 0.162, 0.234], [0.464, 0.234, 0.838], [0.698, 0.838, 0.766], [0.000, 0.000, 0.000], [0.074, 0.539, 0.313], [0.926, 0.461, 0.687], [0.387, 0.687, 0.539], [0.613, 0.313, 0.461]],
  "ef_ev_per_atom": -0.06,
  "total_magnetization_mub_per_cell": 0.000
}

(2)
{
  "formula": "La2ScIr",
  "functional": "PBE-GGA",
  "state": "relaxed",
  "lattice_angstrom": [[3.769, 0.000, 0.000], [0.000, 3.769, 0.000], [0.000, 0.000, 7.551]],
  "species": ["La", "La", "Ir", "Sc"],
  "frac_coords": [[0.000, 0.000, 0.539], [0.000, 0.000, 0.961], [0.500, 0.500, 0.750], [0.500, 0.500, 0.250]],
  "ef_ev_per_atom": -0.24,
  "de_polymorph_ev_per_fu": 0.60,
  "total_magnetization_mub_per_cell": 0.001
}

(3)
{
  "formula": "La2ScBi3",
  "functional": "PBE-GGA",
  "state": "relaxed",
  "lattice_angstrom": [[4.488, 0.000, -1.023], [-0.233, 4.482, -1.023], [-0.043, -0.044, 10.172]],
  "species": ["Sc", "Bi", "Bi", "Bi", "La", "La"],
  "frac_coords": [[0.434, 0.436, 0.874], [0.276, 0.277, 0.556], [0.593, 0.594, 0.191], [0.934, 0.936, 0.874], [0.101, 0.103, 0.208], [0.767, 0.768, 0.540]],
  "ef_ev_per_atom": -0.86,
  "total_magnetization_mub_per_cell": 0.000
}

(4)
{
  "formula": "NiOsWSe2",
  "functional": "PBE-GGA",
  "state": "relaxed",
  "lattice_angstrom": [[-1.705, 3.776, -1.563], [-4.047, -1.065, 1.840], [1.155, 2.070, 3.740]],
  "species": ["Se", "Se", "Ni", "Os", "W"],
  "frac_coords": [[0.500, 0.000, 0.000], [0.000, 0.000, 0.500], [0.000, 0.000, 0.000], [0.500, 0.500, 0.500], [0.000, 0.500, 0.000]],
  "raw_formation_energy_ev_per_atom": 1.56,
  "total_magnetization_mub_per_cell": 0.000
}

(5)
{
  "formula": "ZrTaOs2Pd",
  "functional": "PBE-GGA",
  "state": "relaxed",
  "lattice_angstrom": [[4.740, 0.000, 0.000], [0.000, 4.669, 0.000], [0.000, 0.000, 4.740]],
  "species": ["Pd", "Os", "Os", "Zr", "Ta"],
  "frac_coords": [[0.000, 0.000, 0.000], [0.000, 0.000, 0.500], [0.500, 0.000, 0.000], [0.000, 0.500, 0.000], [0.500, 0.500, 0.500]],
  "ef_ev_per_atom": 1.81,
  "total_magnetization_mub_per_cell": 0.000
}

(6)
{
  "formula": "La3PmEr",
  "functional": "PBE-GGA",
  "state": "relaxed",
  "lattice_angstrom": [[7.367, 0.000, -2.851], [-0.424, 6.586, -1.097], [-1.251, 1.204, 7.714]],
  "species": ["Pm", "Pm", "La", "La", "La", "La", "La", "La", "Er", "Er"],
  "frac_coords": [[0.000, 0.500, 0.000], [0.000, 0.000, 0.000], [0.801, 0.750, 0.602], [0.199, 0.250, 0.800], [0.398, 0.750, 0.200], [0.199, 0.250, 0.398], [0.801, 0.750, 0.200], [0.602, 0.250, 0.800], [0.666, 0.250, 0.332], [0.334, 0.750, 0.668]],
  "ef_ev_per_atom": 0.29,
  "de_polymorph_ev_per_fu": 0.45,
  "total_magnetization_mub_per_cell": 0.000
}

(7)
{
  "formula": "HfCuNi3",
  "functional": "PBE-GGA",
  "state": "relaxed",
  "lattice_angstrom": [[-1.689, -3.717, -2.398], [3.016, -3.581, 3.427], [-5.408, 1.526, 1.443]],
  "species": ["Ni", "Ni", "Ni", "Ni", "Ni", "Ni", "Hf", "Hf", "Cu", "Cu"],
  "frac_coords": [[0.750, 0.200, 0.400], [0.250, 0.800, 0.200], [0.750, 0.200, 0.800], [0.250, 0.800, 0.600], [0.750, 0.600, 0.800], [0.250, 0.400, 0.200], [0.750, 0.666, 0.334], [0.250, 0.334, 0.666], [0.000, 0.000, 0.000], [0.500, 0.000, 0.000]],
  "ef_ev_per_atom": -0.06,
  "de_polymorph_ev_per_fu": 0.00,
  "total_magnetization_mub_per_cell": 0.000
}

(8)
{
  "formula": "YCu2Si",
  "functional": "PBE-GGA",
  "state": "relaxed",
  "lattice_angstrom": [[-3.058, 0.813, -0.509], [-0.961, -2.389, 1.907], [0.212, 4.006, 5.126]],
  "species": ["Cu", "Cu", "Y", "Si"],
  "frac_coords": [[0.000, 0.000, 0.053], [0.000, 0.000, 0.447], [0.500, 0.500, 0.750], [0.500, 0.500, 0.250]],
  "raw_formation_energy_ev_per_atom": -0.05,
  "total_magnetization_mub_per_cell": 0.000
}

(9)
{
  "formula": "AsWSe",
  "functional": "PBE-GGA",
  "state": "relaxed",
  "lattice_angstrom": [[-1.555, -0.449, 4.051], [1.391, -3.279, 2.519], [2.572, 0.822, 3.427]],
  "species": ["Se", "As", "W"],
  "frac_coords": [[0.000, 0.000, 0.000], [0.750, 0.750, 0.750], [0.500, 0.500, 0.500]],
  "raw_formation_energy_ev_per_atom": 0.99,
  "de_polymorph_ev_per_fu": 3.33,
  "total_magnetization_mub_per_cell": 0.002
}

(10)
{
  "formula": "Tb3Tm8Th2",
  "functional": "PBE-GGA",
  "state": "relaxed",
  "lattice_angstrom": [[12.649, -0.990, -1.787], [-7.414, 4.053, 1.754], [-2.195, 1.404, 19.224]],
  "species": ["Tb", "Tb", "Tb", "Tb", "Tb", "Tb", "Tm", "Tm", "Tm", "Tm", "Tm", "Tm", "Tm", "Tm", "Tm", "Tm", "Tm", "Tm", "Tm", "Tm", "Tm", "Tm", "Th", "Th", "Th", "Th"],
  "frac_coords": [[0.961, 0.495, 0.707], [0.000, 0.000, 0.000], [0.759, 0.848, 0.225], [0.241, 0.152, 0.775], [0.039, 0.505, 0.293], [0.500, 0.000, 0.500], [0.629, 0.811, 0.037], [0.881, 0.428, 0.112], [0.259, 0.627, 0.075], [0.431, 0.224, 0.562], [0.661, 0.320, 0.322], [0.249, 0.049, 0.385], [0.119, 0.572, 0.888], [0.387, 0.658, 0.260], [0.569, 0.776, 0.438], [0.371, 0.189, 0.963], [0.339, 0.680, 0.678], [0.143, 0.054, 0.185], [0.857, 0.946, 0.815], [0.751, 0.951, 0.615], [0.741, 0.373, 0.925], [0.613, 0.342, 0.740], [0.077, 0.062, 0.586], [0.923, 0.938, 0.414], [0.488, 0.755, 0.854], [0.512, 0.245, 0.146]],
  "ef_ev_per_atom": 0.11,
  "de_polymorph_ev_per_fu": 0.00,
  "total_magnetization_mub_per_cell": 0.000
}

(11)
{
  "formula": "SrLa2ErAs4",
  "functional": "PBE-GGA",
  "state": "relaxed",
  "lattice_angstrom": [[4.335, 0.000, 0.000], [0.000, 7.415, -0.114], [0.000, 2.641, 7.078]],
  "species": ["As", "As", "As", "As", "Sr", "Er", "La", "La"],
  "frac_coords": [[0.000, 0.249, 0.263], [0.000, 0.751, 0.737], [0.500, 0.258, 0.737], [0.500, 0.742, 0.263], [0.500, 0.500, 0.000], [0.000, 0.500, 0.500], [0.000, 0.000, 0.000], [0.500, 0.000, 0.500]],
  "ef_ev_per_atom": -1.35,
  "total_magnetization_mub_per_cell": 0.000
}

(12)
{
  "formula": "PmScAsH",
  "functional": "PBE-GGA",
  "state": "relaxed",
  "lattice_angstrom": [[4.106, 0.000, 0.000], [0.000, 4.106, 0.000], [0.000, 0.000, 8.605]],
  "species": ["Pm", "Pm", "As", "As", "Sc", "Sc", "H", "H"],
  "frac_coords": [[0.000, 0.500, 0.852], [0.500, 0.000, 0.148], [0.500, 0.000, 0.720], [0.000, 0.500, 0.280], [0.500, 0.500, 0.500], [0.000, 0.000, 0.500], [0.500, 0.500, 0.000], [0.000, 0.000, 0.000]],
  "total_energy_ev_per_atom": -5.750,
  "total_magnetization_mub_per_cell": 0.001
}

(13)
{
  "formula": "Ba4Tl12In",
  "functional": "PBE-GGA",
  "state": "relaxed",
  "lattice_angstrom": [[1.547, -1.778, -8.768], [-1.026, -7.798, 4.534], [-7.552, 4.977, 0.792]],
  "species": ["Ba", "Ba", "Ba", "Ba", "Tl", "Tl", "Tl", "Tl", "Tl", "Tl", "Tl", "Tl", "Tl", "Tl", "Tl", "Tl", "In"],
  "frac_coords": [[0.500, 0.500, 0.500], [0.500, 0.000, 0.000], [0.000, 0.500, 0.000], [0.000, 0.000, 0.500], [0.750, 0.250, 0.500], [0.500, 0.750, 0.250], [0.250, 0.750, 0.500], [0.694, 0.694, 0.000], [0.500, 0.250, 0.750], [0.000, 0.306, 0.306], [0.306, 0.306, 0.000], [0.250, 0.500, 0.750], [0.306, 0.000, 0.306], [0.694, 0.000, 0.694], [0.000, 0.694, 0.694], [0.750, 0.500, 0.250], [0.000, 0.000, 0.000]],
  "ef_ev_per_atom": -0.27,
  "total_magnetization_mub_per_cell": 0.000
}

(14)
{
  "formula": "TlWSeN2",
  "functional": "PBE-GGA",
  "state": "relaxed",
  "lattice_angstrom": [[4.126, 0.000, 0.000], [0.000, 4.126, 0.000], [0.000, 0.000, 5.507]],
  "species": ["W", "N", "N", "Tl", "Se"],
  "frac_coords": [[0.500, 0.500, 0.500], [0.500, 0.000, 0.000], [0.000, 0.500, 0.000], [0.000, 0.000, 0.000], [0.000, 0.000, 0.500]],
  "raw_formation_energy_ev_per_atom": 2.65,
  "de_polymorph_ev_per_fu": 11.85,
  "total_magnetization_mub_per_cell": 1.998
}

(15)
{
  "formula": "MgSnHg",
  "functional": "PBE-GGA",
  "state": "relaxed",
  "lattice_angstrom": [[3.540, 0.000, 0.000], [0.000, 3.540, 0.000], [-1.770, -1.770, 5.756]],
  "species": ["Hg", "Sn", "Mg"],
  "frac_coords": [[0.320, 0.320, 0.640], [0.004, 0.004, 0.008], [0.676, 0.676, 0.352]],
  "ef_ev_per_atom": -0.08,
  "total_magnetization_mub_per_cell": 0.000
}

(16)
{
  "formula": "SmYCo",
  "functional": "PBE-GGA",
  "state": "relaxed",
  "lattice_angstrom": [[3.408, 0.005, 0.001], [-0.015, 6.836, 0.044], [-1.700, -1.758, 6.409]],
  "species": ["Co", "Co", "Y", "Y", "Sm", "Sm"],
  "frac_coords": [[0.938, 0.806, 0.643], [0.940, 0.298, 0.646], [0.566, 0.114, 0.898], [0.312, 0.989, 0.390], [0.311, 0.487, 0.388], [0.567, 0.617, 0.901]],
  "ef_ev_per_atom": -0.06,
  "de_polymorph_ev_per_fu": 0.12,
  "total_magnetization_mub_per_cell": 1.374
}

(17)
{
  "formula": "Ho2ZnAg",
  "functional": "PBE-GGA",
  "state": "relaxed",
  "lattice_angstrom": [[5.075, 0.000, 0.000], [2.538, 4.395, 0.000], [2.538, 1.465, 4.144]],
  "species": ["Ag", "Ho", "Ho", "Zn"],
  "frac_coords": [[0.250, 0.250, 0.250], [0.000, 0.000, 0.000], [0.500, 0.500, 0.500], [0.750, 0.750, 0.750]],
  "ef_ev_per_atom": -0.33,
  "total_magnetization_mub_per_cell": 0.000
}

(18)
{
  "formula": "TiVW",
  "functional": "PBE-GGA",
  "state": "relaxed",
  "lattice_angstrom": [[-0.215, -2.562, 1.011], [4.335, -0.544, -0.456], [-1.629, 1.615, 3.746]],
  "species": ["Ti", "W", "V"],
  "frac_coords": [[0.323, 0.667, 0.333], [0.980, 0.000, 0.000], [0.697, 0.333, 0.667]],
  "ef_ev_per_atom": -0.02,
  "de_polymorph_ev_per_fu": 0.00,
  "total_magnetization_mub_per_cell": 0.000
}

(19)
{
  "formula": "LaPr2Pu",
  "functional": "PBE-GGA",
  "state": "relaxed",
  "lattice_angstrom": [[-0.904, -5.733, 0.262], [3.764, -3.409, 2.822], [-1.528, -2.473, 5.031]],
  "species": ["Pu", "La", "Pr", "Pr"],
  "frac_coords": [[0.500, 0.500, 0.500], [0.000, 0.000, 0.000], [0.750, 0.750, 0.750], [0.250, 0.250, 0.250]],
  "ef_ev_per_atom": 0.25,
  "de_polymorph_ev_per_fu": 0.50,
  "total_magnetization_mub_per_cell": 7.514
}

(20)
{
  "formula": "K2Dy2NpO6",
  "functional": "PBE-GGA",
  "state": "relaxed",
  "lattice_angstrom": [[-5.754, 1.230, 1.339], [3.749, -1.978, 4.295], [2.270, 6.261, -0.503]],
  "species": ["O", "O", "O", "O", "O", "O", "K", "K", "Np", "Dy", "Dy"],
  "frac_coords": [[0.950, 0.614, 0.326], [0.386, 0.050, 0.674], [0.740, 0.740, 0.672], [0.050, 0.386, 0.674], [0.614, 0.950, 0.326], [0.260, 0.260, 0.328], [0.831, 0.169, 0.000], [0.169, 0.831, 0.000], [0.000, 0.000, 0.500], [0.334, 0.666, 0.500], [0.666, 0.334, 0.500]],
  "raw_formation_energy_ev_per_atom": -2.82,
  "total_magnetization_mub_per_cell": 3.000
}

(21)
{
  "formula": "Ti4Os2Ru",
  "functional": "PBE-GGA",
  "state": "relaxed",
  "lattice_angstrom": [[5.001, 0.001, -1.759], [-2.493, 4.326, -1.783], [0.001, -0.001, 5.302]],
  "species": ["Os", "Os", "Ti", "Ti", "Ti", "Ti", "Ru"],
  "frac_coords": [[0.500, 0.000, 0.500], [0.500, 0.500, 0.000], [0.000, 0.000, 0.500], [0.500, 0.000, 0.000], [0.500, 0.500, 0.500], [0.000, 0.500, 0.000], [0.000, 0.000, 0.000]],
  "ef_ev_per_atom": -0.44,
  "total_magnetization_mub_per_cell": 0.000
}

(22)
{
  "formula": "HfSe2Br",
  "functional": "PBE-GGA",
  "state": "relaxed",
  "lattice_angstrom": [[2.206, 0.000, 8.505], [-1.103, 1.910, 8.505], [-1.103, -1.910, 8.505]],
  "species": ["Br", "Se", "Se", "Hf"],
  "frac_coords": [[0.000, 0.000, 0.000], [0.894, 0.894, 0.894], [0.106, 0.106, 0.106], [0.500, 0.500, 0.500]],
  "raw_formation_energy_ev_per_atom": -0.85,
  "de_polymorph_ev_per_fu": 0.00,
  "total_magnetization_mub_per_cell": 0.000
}

(23)
{
  "formula": "YMgHg3",
  "functional": "PBE-GGA",
  "state": "relaxed",
  "lattice_angstrom": [[5.199, 0.000, -0.018], [0.000, 5.420, 0.000], [-2.630, -2.710, 9.059]],
  "species": ["Mg", "Mg", "Hg", "Hg", "Hg", "Hg", "Hg", "Hg", "Y", "Y"],
  "frac_coords": [[0.629, 0.876, 0.753], [0.371, 0.124, 0.247], [0.557, 0.305, 0.609], [0.042, 0.791, 0.583], [0.783, 0.033, 0.066], [0.958, 0.209, 0.417], [0.443, 0.695, 0.391], [0.217, 0.967, 0.934], [0.855, 0.609, 0.218], [0.145, 0.391, 0.782]],
  "ef_ev_per_atom": -0.19,
  "de_polymorph_ev_per_fu": 0.00,
  "total_magnetization_mub_per_cell": 0.000
}

(24)
{
  "formula": "Pm2PrYTm5",
  "functional": "PBE-GGA",
  "state": "relaxed",
  "lattice_angstrom": [[8.731, 0.000, 0.000], [0.000, 8.731, 0.000], [-4.366, -4.366, 7.621]],
  "species": ["Tm", "Tm", "Tm", "Tm", "Tm", "Tm", "Tm", "Tm", "Tm", "Tm", "Pm", "Pm", "Pm", "Pm", "Pr", "Pr", "Y", "Y"],
  "frac_coords": [[0.500, 0.500, 0.000], [0.574, 0.654, 0.727], [0.154, 0.074, 0.727], [0.346, 0.846, 0.273], [0.426, 0.346, 0.273], [0.074, 0.574, 0.727], [0.926, 0.426, 0.273], [0.846, 0.926, 0.273], [0.000, 0.000, 0.000], [0.654, 0.154, 0.727], [0.116, 0.384, 0.000], [0.384, 0.884, 0.000], [0.884, 0.616, 0.000], [0.616, 0.116, 0.000], [0.250, 0.250, 0.500], [0.750, 0.750, 0.500], [0.750, 0.250, 0.500], [0.250, 0.750, 0.500]],
  "ef_ev_per_atom": 0.26,
  "total_magnetization_mub_per_cell": 0.000
}